[1]
Here is a geometry-optimized Dy5YHg3 structure from Alexandria via LeMat-Bulk. Energies are from PBE.

Energy relative to the elements   -7.3 kcal/mol of atoms

Lattice parameters (Å, degrees): 6.931 9.079 9.078 120.00 90.00 90.00
Fractional coordinates of all 18 atoms:
Y1 0.000 0.000 0.000
Dy1 0.500 0.667 0.333
Y2 0.500 0.000 0.000
Hg1 0.250 0.000 0.332
Dy2 0.500 0.333 0.667
Dy3 0.250 0.666 0.000
Dy4 0.000 0.667 0.333
Dy5 0.250 0.000 0.666
Dy6 0.250 0.334 0.334
Hg2 0.250 0.332 0.000
Dy7 0.750 0.666 0.666
Hg3 0.750 0.000 0.668
Hg4 0.750 0.332 0.332
Hg5 0.750 0.668 0.000
Dy8 0.750 0.000 0.334
Dy9 0.000 0.333 0.667
Hg6 0.250 0.668 0.668
Dy10 0.750 0.334 0.000

=====

[2]
Here is a geometry-optimized Dy3Y2Hg2 structure from Alexandria via LeMat-Bulk. Energies are from PBE.

Energy relative to the elements   -4.3 kcal/mol of atoms
E above lowest polymorph   65 meV/atom

Lattice parameters (Å, degrees): 3.585 3.560 16.121 90.00 83.62 90.00
Fractional coordinates of all 7 atoms:
Y1 0.297 0.500 0.406
Dy1 0.125 0.000 0.751
Dy2 0.875 0.000 0.249
Hg1 0.562 0.500 0.877
Hg2 0.438 0.500 0.123
Dy3 0.000 0.000 0.000
Y2 0.703 0.500 0.594

=====

[3]
Here is a geometry-optimized DyY2Hg3 structure from Alexandria via LeMat-Bulk. Energies are from PBE.

Energy relative to the elements   -11.5 kcal/mol of atoms

Lattice parameters (Å, degrees): 3.733 3.733 11.148 90.00 90.00 90.00
Fractional coordinates of all 6 atoms:
Y1 0.500 0.500 0.833
Hg1 0.000 0.000 0.666
Dy1 0.500 0.500 0.500
Hg2 0.000 0.000 0.334
Y2 0.500 0.500 0.167
Hg3 0.000 0.000 0.000